(1)
This record from Alexandria describes a geometry-optimized ZrAsPCl2 structure. The functional is PBE.

The structure in POSCAR format:
```
ZrAsPCl2
1.0
4.886 0.000 0.000
0.000 4.886 0.000
0.000 0.000 5.565
Zr As P Cl
1 1 1 2
Direct
0.000 0.000 0.000
0.000 0.000 0.500
0.500 0.500 0.500
0.000 0.500 0.000
0.500 0.000 0.000
```

## Properties
Calculated total energy = -4.6351 eV/atom
ΔE to the lowest computed polymorph = 70.0 meV/atom
Formation energy without anion corrections = -0.175 eV per atom

(2)
This record from Alexandria describes a geometry-optimized Pa2AsCl2 structure. The functional is PBE.

The structure in POSCAR format:
```
Pa2AsCl2
1.0
2.018 1.165 10.064
-2.018 1.165 10.064
0.000 -2.330 10.064
Pa As Cl
2 1 2
Direct
0.115 0.115 0.115
0.885 0.885 0.885
0.500 0.500 0.500
0.275 0.275 0.275
0.725 0.725 0.725
```

## Properties
Calculated total energy = -6.7432 eV/atom
Formation energy without anion corrections = -1.276 eV per atom

(3)
This record from Alexandria describes a geometry-optimized PaAsCl structure. The functional is PBE.

The structure in POSCAR format:
```
PaAsCl
1.0
4.073 0.000 0.000
0.000 4.071 0.000
-1.936 0.000 11.812
Pa As Cl
2 2 2
Direct
0.185 0.250 0.362
0.815 0.750 0.638
0.304 0.250 0.615
0.696 0.750 0.385
0.086 0.250 0.151
0.914 0.750 0.849
```

## Properties
Calculated total energy = -6.5648 eV/atom
ΔE to the lowest computed polymorph = 0.0 meV/atom
Formation energy without anion corrections = -1.234 eV per atom

(4)
This record from Alexandria describes a geometry-optimized PaAsCl structure. The functional is PBE.

The structure in POSCAR format:
```
PaAsCl
1.0
6.482 -1.946 0.000
6.482 1.946 0.000
-4.632 0.000 6.910
Pa As Cl
2 2 2
Direct
0.000 0.000 0.000
0.631 0.631 0.692
0.321 0.321 0.912
0.954 0.954 0.638
0.113 0.113 0.408
0.677 0.677 0.088
```

## Properties
Calculated total energy = -6.3674 eV/atom
ΔE to the lowest computed polymorph = 197.4 meV/atom
Formation energy without anion corrections = -1.037 eV per atom